# Bi2Te2W3O16, relaxed, DFT GGA+U
data_Bi2Te2W3O16
_chemical_formula_sum 'Bi8 Te8 W12 O64'
_cell_length_a 21.9074
_cell_length_b 5.6106
_cell_length_c 13.1014
_cell_angle_alpha 90.00
_cell_angle_beta 124.28
_cell_angle_gamma 90.00
_symmetry_space_group_name_H-M 'C 1 2/c 1'
_symmetry_Int_Tables_number 15
loop_
_symmetry_equiv_pos_as_xyz
'x,y,z'
'-x,-y,-z'
'-x,y,-z+1/2'
'x,-y,z+1/2'
'x+1/2,y+1/2,z'
'-x+1/2,-y+1/2,-z'
'-x+1/2,y+1/2,-z+1/2'
'x+1/2,-y+1/2,z+1/2'
loop_
_atom_site_label
_atom_site_type_symbol
_atom_site_fract_x
_atom_site_fract_y
_atom_site_fract_z
Bi1 Bi 0.2239 0.1631 0.3442
Te1 Te 0.0958 0.3074 0.6560
W1 W 0.0000 0.3724 0.2500
W2 W 0.1262 0.1342 0.9619
O1 O 0.0423 0.3471 0.8763
O2 O 0.0488 0.1517 0.3752
O3 O 0.0849 0.4118 0.2379
O4 O 0.1215 0.1140 0.7950
O5 O 0.1267 0.0542 0.0997
O6 O 0.1938 0.3715 0.0288
O7 O 0.1939 0.4033 0.7218
O8 O 0.1969 0.1146 0.4918
# Uncorrected energy in eV/cell: -607.33
# DOS(E_F) in states/eV/cell: 0.0